(1)
The following is a DFT calculation (PBE) of an optimized crystal structure of CrCo6Mo.

Computed properties:
The value obtained for the formation energy is 249 meV/atom. The density of states at the Fermi level comes out at 1.351 states/eV per atom. The calculation puts the mass density at 8.761 g/cm3.

a = 4.722 Å, b = 4.786 Å, c = 4.842 Å
α = 60.41°, β = 87.53°, γ = 89.90°
Element x y z (fractional)
Cr 0.000 0.000 0.000
Co 0.234 0.443 0.114
Co 0.245 0.481 0.577
Co 0.245 0.941 0.577
Co 0.755 0.059 0.423
Co 0.755 0.519 0.423
Co 0.766 0.557 0.886
Mo 0.500 0.000 0.000


(2)
The following is a DFT calculation (PBE) of an optimized crystal structure of CrCoMo2.

Computed properties:
The value obtained for the formation energy is 363 meV/atom. The density of states at the Fermi level comes out at 1.187 states/eV per atom. The calculation puts the mass density at 9.094 g/cm3.

a = 9.051 Å, b = 9.051 Å, c = 9.051 Å
α = 17.00°, β = 17.00°, γ = 17.00°
Element x y z (fractional)
Cr 0.000 0.000 0.000
Co 0.737 0.737 0.737
Mo 0.246 0.246 0.246
Mo 0.485 0.485 0.485


(3)
The following is a DFT calculation (PBE) of an optimized crystal structure of CrCoMo.

Computed properties:
The value obtained for the formation energy is 192 meV/atom. The density of states at the Fermi level comes out at 0.926 states/eV per atom. The calculation puts the mass density at 8.791 g/cm3.

a = 4.197 Å, b = 4.197 Å, c = 2.561 Å
α = 90.00°, β = 90.00°, γ = 120.00°
Element x y z (fractional)
Cr 0.000 0.000 0.000
Co 0.333 0.667 0.664
Mo 0.667 0.333 0.309